Entry 1:
AsOs2Pt | PBE | optimized geometry

abc: 5.315 5.315 5.315
angles: 148.24 129.73 60.70
Fractional positions:
Pt1 0.479 0.479 0.000
As1 0.242 0.742 0.500
Os1 0.761 0.261 0.500
Os2 0.018 0.018 0.000

Energy relative to the elements in meV per atom: 479.9
Magnetization in μB per cell: 0.00
DFT total energy in eV per atom: -7.808

***

Entry 2:
AsOsPt2 | PBE | optimized geometry

abc: 5.404 5.404 5.404
angles: 149.06 129.62 60.30
Fractional positions:
Pt1 0.991 0.991 0.000
Pt2 0.509 0.509 0.000
Os1 0.250 0.750 0.500
As1 0.750 0.250 0.500

Energy relative to the elements in meV per atom: 302.9
Magnetization in μB per cell: 0.00
DFT total energy in eV per atom: -6.687

***

Entry 3:
AsOsPt2 | PBE | optimized geometry

abc: 2.785 2.785 9.545
angles: 90.00 90.00 120.23
Fractional positions:
Os1 0.500 0.500 0.747
As1 0.000 0.000 0.514
Pt1 0.500 0.500 0.247
Pt2 0.000 0.000 0.991

Energy relative to the elements in meV per atom: 342.8
Magnetization in μB per cell: 0.00
DFT total energy in eV per atom: -6.647

***

Entry 4:
AsOs2Pt | PBE | optimized geometry

abc: 3.951 2.832 5.756
angles: 75.23 90.00 90.00
Fractional positions:
As1 0.500 0.549 0.779
Os1 0.500 0.329 0.216
Os2 0.000 0.936 0.015
Pt1 0.000 0.687 0.491

Energy relative to the elements in meV per atom: 315.5
Magnetization in μB per cell: 0.00
DFT total energy in eV per atom: -7.972